The following is a DFT calculation (PBE-GGA) of a relaxed Pm3Fe3B8 crystal.

a = 7.9028 Å, b = 7.9028 Å, c = 7.9028 Å
α = 156.88°, β = 116.00°, γ = 69.02°
Sites, in units of the cell vectors:
Pm 0.0000 0.0000 0.0000
Pm 0.2731 0.2731 0.0000
Pm 0.7269 0.7269 0.0000
Fe 0.3022 0.5000 0.8022
Fe 0.5000 0.0000 0.5000
Fe 0.6978 0.5000 0.1978
B 0.0631 0.3668 0.6963
B 0.1543 0.8844 0.2699
B 0.3294 0.6332 0.6963
B 0.3855 0.1156 0.2699
B 0.6145 0.8844 0.7301
B 0.6706 0.3668 0.3037
B 0.8457 0.1156 0.7301
B 0.9369 0.6332 0.3037



The following is a DFT calculation (PBE-GGA) of a relaxed PmFeB14 crystal.

a = 7.3762 Å, b = 7.3762 Å, c = 7.3762 Å
α = 133.36°, β = 87.16°, γ = 111.29°
Sites, in units of the cell vectors:
Pm 0.3807 0.1307 0.2500
Pm 0.6193 0.8693 0.7500
Fe 0.0000 0.0000 0.5000
Fe 0.0000 0.5000 0.0000
B 0.0006 0.1336 0.8670
B 0.0311 0.2037 0.3304
B 0.0311 0.7008 0.8274
B 0.0798 0.6671 0.4127
B 0.2003 0.5341 0.6662
B 0.2194 0.4994 0.3976
B 0.2194 0.8217 0.7200
B 0.2334 0.8664 0.3670
B 0.2456 0.3329 0.9127
B 0.3679 0.5341 0.8338
B 0.3734 0.2037 0.6726
B 0.3734 0.7008 0.1696
B 0.3983 0.1783 0.8976
B 0.3983 0.5006 0.2200
B 0.6017 0.4994 0.7800
B 0.6017 0.8217 0.1024
B 0.6266 0.2992 0.8304
B 0.6266 0.7963 0.3274
B 0.6321 0.4659 0.1662
B 0.7544 0.6671 0.0873
B 0.7666 0.1336 0.6330
B 0.7806 0.1783 0.2800
B 0.7806 0.5006 0.6024
B 0.7997 0.4659 0.3338
B 0.9202 0.3329 0.5873
B 0.9689 0.2992 0.1726
B 0.9689 0.7963 0.6696
B 0.9994 0.8664 0.1330



The following is a DFT calculation (PBE-GGA) of a relaxed PmFe3B2 crystal.

a = 8.8184 Å, b = 8.8184 Å, c = 3.2123 Å
α = 90.00°, β = 90.00°, γ = 120.00°
Sites, in units of the cell vectors:
Pm 0.0000 0.0000 0.0000
Pm 0.3333 0.6667 0.5000
Pm 0.6667 0.3333 0.5000
Fe 0.0000 0.2897 0.5000
Fe 0.0000 0.5000 0.0000
Fe 0.0000 0.7103 0.5000
Fe 0.2897 0.0000 0.5000
Fe 0.2897 0.2897 0.5000
Fe 0.5000 0.0000 0.0000
Fe 0.5000 0.5000 0.0000
Fe 0.7103 0.0000 0.5000
Fe 0.7103 0.7103 0.5000
B 0.1872 0.3744 0.0000
B 0.1872 0.8128 0.0000
B 0.3744 0.1872 0.0000
B 0.6256 0.8128 0.0000
B 0.8128 0.1872 0.0000
B 0.8128 0.6256 0.0000



The following is a DFT calculation (PBE-GGA) of a relaxed PmFeB3 crystal.

a = 6.0876 Å, b = 5.1670 Å, c = 7.7102 Å
α = 90.00°, β = 112.95°, γ = 90.00°
Sites, in units of the cell vectors:
Pm 0.1463 0.1036 0.2211
Pm 0.1463 0.3964 0.7211
Pm 0.8537 0.6036 0.2789
Pm 0.8537 0.8964 0.7789
Fe 0.4123 0.6943 0.5444
Fe 0.4123 0.8057 0.0444
Fe 0.5877 0.1943 0.9556
Fe 0.5877 0.3057 0.4556
B 0.1439 0.5569 0.0557
B 0.1439 0.9431 0.5557
B 0.3834 0.6164 0.2821
B 0.3834 0.8836 0.7821
B 0.4289 0.0937 0.6146
B 0.4289 0.4063 0.1146
B 0.5711 0.5937 0.8854
B 0.5711 0.9063 0.3854
B 0.6166 0.1164 0.2179
B 0.6166 0.3836 0.7179
B 0.8561 0.0569 0.4443
B 0.8561 0.4431 0.9443



The following is a DFT calculation (PBE-GGA) of a relaxed Pm2Fe5B4 crystal.

a = 7.2498 Å, b = 5.9649 Å, c = 5.4582 Å
α = 78.65°, β = 53.77°, γ = 47.57°
Sites, in units of the cell vectors:
Pm 0.1469 0.1469 0.8531
Pm 0.8531 0.8531 0.1469
Fe 0.0000 0.0000 0.5000
Fe 0.2500 0.2500 0.2500
Fe 0.5000 0.5000 0.0000
Fe 0.5000 0.5000 0.5000
Fe 0.7500 0.7500 0.7500
B 0.2104 0.5242 0.4758
B 0.4758 0.7896 0.2104
B 0.5242 0.2104 0.7896
B 0.7896 0.4758 0.5242



The following is a DFT calculation (PBE-GGA) of a relaxed PmFe3B crystal.

a = 4.0532 Å, b = 4.0532 Å, c = 4.0532 Å
α = 90.00°, β = 90.00°, γ = 90.00°
Sites, in units of the cell vectors:
Pm 0.0000 0.0000 0.0000
Fe 0.0000 0.5000 0.5000
Fe 0.5000 0.0000 0.5000
Fe 0.5000 0.5000 0.0000
B 0.5000 0.5000 0.5000



Number 1: calculated total energy -6.8243 eV/atom, energy of formation from the pure elements -0.177 eV per atom. Number 2: calculated total energy -6.8130 eV/atom, energy of formation from the pure elements -0.144 eV per atom. Number 3: calculated total energy -7.4281 eV/atom, energy of formation from the pure elements -0.179 eV per atom. Number 4: calculated total energy -6.9572 eV/atom, energy of formation from the pure elements -0.308 eV per atom. Number 5: calculated total energy -7.4774 eV/atom, energy of formation from the pure elements -0.339 eV per atom. Number 6: calculated total energy -7.3337 eV/atom, energy of formation from the pure elements 0.029 eV per atom.